Record 1
! GGA-PBE Ho7Tl2Zn2, optimized geometry; values from VASP
! **DFT total energy**: -3.58 eV/atom
! **Space group**: Cmmm (65)
&SYSTEM
  ibrav = 0, nat = 11, ntyp = 3
/
ATOMIC_SPECIES
Tl 204.38 Tl.upf
Ho 164.93 Ho.upf
Zn 65.41 Zn.upf
ATOMIC_POSITIONS crystal
Tl 0.1900 0.5000 0.1900
Ho 0.0000 0.2744 0.5000
Ho 0.5000 0.2323 0.5000
Zn 0.7140 0.0000 0.2860
Ho 0.5000 0.2744 0.0000
Zn 0.2860 0.0000 0.7140
Tl 0.8100 0.5000 0.8100
Ho 0.5000 0.7256 0.0000
Ho 0.0000 0.0000 0.0000
Ho 0.0000 0.7256 0.5000
Ho 0.5000 0.7677 0.5000
CELL_PARAMETERS angstrom
6.6649 -0.0025 -0.9964
0.0033 7.5361 0.0034
-1.4097 -0.0023 6.5898

---

Record 2
! GGA-PBE AlIrCl, optimized geometry; values from VASP
! **Space group**: P3m1 (156)
! **Energy relative to the lowest polymorph listed for this composition**: 0 meV per atom
! **Formation energy (no corrections)**: -0.410 eV per atom
&SYSTEM
  ibrav = 0, nat = 3, ntyp = 3
/
ATOMIC_SPECIES
Al 26.98 Al.upf
Cl 35.45 Cl.upf
Ir 192.22 Ir.upf
ATOMIC_POSITIONS crystal
Al 0.0000 0.0000 0.9998
Cl 0.6667 0.3333 0.2353
Ir 0.3333 0.6667 0.7649
CELL_PARAMETERS angstrom
-2.4357 1.3883 -1.2036
-0.3134 -2.6987 1.3884
-1.1705 3.3318 6.2119

---

Record 3
! GGA-PBE Ba4Pa3RuN8, optimized geometry; values from VASP
! **Space group**: R-3m (166)
! **Formation energy (no corrections)**: -0.920 eV per atom
&SYSTEM
  ibrav = 0, nat = 16, ntyp = 4
/
ATOMIC_SPECIES
Ba 137.33 Ba.upf
N 14.01 N.upf
Ru 101.07 Ru.upf
Pa 231.04 Pa.upf
ATOMIC_POSITIONS crystal
Ba 0.0000 0.0000 0.0000
N 0.2846 0.3204 0.0525
Ru 0.0000 0.5000 0.0000
Ba 0.5000 0.0000 0.0000
Pa 0.0000 0.5000 0.5000
N 0.2321 0.6796 0.9475
N 0.2321 0.6796 0.4643
N 0.2744 0.3232 0.5488
Ba 0.5000 0.0000 0.5000
N 0.7679 0.3204 0.0525
N 0.7679 0.3204 0.5357
N 0.7256 0.6768 0.4512
Pa 0.5000 0.5000 0.5000
Ba 0.0000 0.0000 0.5000
Pa 0.5000 0.5000 0.0000
N 0.7154 0.6796 0.9475
CELL_PARAMETERS angstrom
7.1417 0.0000 0.0000
0.0000 7.5729 0.2894
-3.5708 -3.5608 5.0571

---

Record 4
! GGA-PBE OsPt3Au, optimized geometry; values from VASP
! **Space group**: Pm-3m (221)
! **Energy relative to the lowest polymorph listed for this composition**: 0 meV per atom
&SYSTEM
  ibrav = 0, nat = 5, ntyp = 3
/
ATOMIC_SPECIES
Pt 195.08 Pt.upf
Os 190.23 Os.upf
Au 196.97 Au.upf
ATOMIC_POSITIONS crystal
Pt 0.0000 0.0000 0.5000
Os 0.0000 0.0000 0.0000
Au 0.5000 0.5000 0.5000
Pt 0.5000 0.0000 0.0000
Pt 0.0000 0.5000 0.0000
CELL_PARAMETERS angstrom
4.8166 0.0000 0.0000
0.0000 4.8166 0.0000
0.0000 0.0000 4.8166

---

Record 5
! GGA-PBE GePdRu3, optimized geometry; values from VASP
! **Space group**: Pm-3m (221)
! **Energy relative to the lowest polymorph listed for this composition**: 0 meV per atom
&SYSTEM
  ibrav = 0, nat = 5, ntyp = 3
/
ATOMIC_SPECIES
Pd 106.42 Pd.upf
Ge 72.64 Ge.upf
Ru 101.07 Ru.upf
ATOMIC_POSITIONS crystal
Pd 0.5000 0.5000 0.5000
Ge 0.0000 0.0000 0.0000
Ru 0.0000 0.5000 0.0000
Ru 0.0000 0.0000 0.5000
Ru 0.5000 0.0000 0.0000
CELL_PARAMETERS angstrom
4.5046 0.0000 0.0000
0.0000 4.5046 0.0000
0.0000 0.0000 4.5046

---

Record 6
! GGA-PBE SmMgGaS4, optimized geometry; values from VASP
! **Space group**: Imma (74)
! **Formation energy (no corrections)**: -1.292 eV per atom
&SYSTEM
  ibrav = 0, nat = 14, ntyp = 4
/
ATOMIC_SPECIES
Ga 69.72 Ga.upf
S 32.06 S.upf
Mg 24.30 Mg.upf
Sm 150.36 Sm.upf
ATOMIC_POSITIONS crystal
Ga 0.6287 0.6213 0.1213
S 0.7430 0.2469 0.2670
S 0.2626 0.2457 0.7457
Mg 0.5000 0.0000 0.5000
Ga 0.3713 0.3787 0.8787
Sm 0.0000 0.0000 0.0000
S 0.7460 0.2457 0.7457
Sm 0.0000 0.5000 0.5000
S 0.2540 0.7543 0.2543
Mg 0.0000 0.0000 0.5000
S 0.2570 0.7531 0.7330
S 0.7374 0.7543 0.2543
S 0.2570 0.2330 0.2531
S 0.7430 0.7670 0.7469
CELL_PARAMETERS angstrom
-3.7486 -5.9743 3.0656
2.9812 -3.7599 5.9640
-3.2369 0.6262 6.9083

---

Record 7
! GGA-PBE ZnTcSn2Br, optimized geometry; values from VASP
! **Space group**: P4/mmm (123)
! **Formation energy (no corrections)**: 1.195 eV per atom
&SYSTEM
  ibrav = 0, nat = 5, ntyp = 4
/
ATOMIC_SPECIES
Tc 98.00 Tc.upf
Br 79.90 Br.upf
Sn 118.71 Sn.upf
Zn 65.41 Zn.upf
ATOMIC_POSITIONS crystal
Tc 0.0000 0.5000 0.0000
Br 0.0000 0.0000 0.0000
Sn 0.0000 0.0000 0.5000
Zn 0.5000 0.5000 0.5000
Sn 0.5000 0.0000 0.0000
CELL_PARAMETERS angstrom
-0.0511 -0.7937 5.6224
-3.1254 -3.4224 -0.5115
4.2137 -3.7742 -0.4945

---

Record 8
! GGA-PBE ReOsIO2, optimized geometry; values from VASP
! **Space group**: P4/mmm (123)
! **Energy relative to the lowest polymorph listed for this composition**: 326 meV per atom
! **Formation energy (no corrections)**: 0.609 eV per atom
&SYSTEM
  ibrav = 0, nat = 5, ntyp = 4
/
ATOMIC_SPECIES
O 16.00 O.upf
I 126.90 I.upf
Os 190.23 Os.upf
Re 186.21 Re.upf
ATOMIC_POSITIONS crystal
O 0.0000 0.5000 0.0000
O 0.5000 0.0000 0.0000
I 0.0000 0.0000 0.5000
Os 0.0000 0.0000 0.0000
Re 0.5000 0.5000 0.5000
CELL_PARAMETERS angstrom
3.7636 0.0000 0.0000
0.0000 3.7636 0.0000
0.0000 0.0000 8.1657

---

Record 9
! GGA-PBE Ta2VPtN, optimized geometry; values from VASP
! **Space group**: P4/mmm (123)
! **Formation energy (no corrections)**: -0.749 eV per atom
&SYSTEM
  ibrav = 0, nat = 5, ntyp = 4
/
ATOMIC_SPECIES
Pt 195.08 Pt.upf
N 14.01 N.upf
Ta 180.95 Ta.upf
V 50.94 V.upf
ATOMIC_POSITIONS crystal
Pt 0.5000 0.5000 0.5000
N 0.0000 0.0000 0.0000
Ta 0.5000 0.0000 0.0000
Ta 0.0000 0.5000 0.0000
V 0.0000 0.0000 0.5000
CELL_PARAMETERS angstrom
4.2529 0.0000 0.0000
0.0000 4.2529 0.0000
0.0000 0.0000 3.9048

---

Record 10
! GGA-PBE Pa2InBr8, optimized geometry; values from VASP
! **Space group**: P-3 (147)
! **Energy relative to the lowest polymorph listed for this composition**: 32 meV per atom
! **Formation energy (no corrections)**: -1.131 eV per atom
&SYSTEM
  ibrav = 0, nat = 11, ntyp = 3
/
ATOMIC_SPECIES
Br 79.90 Br.upf
Pa 231.04 Pa.upf
In 114.82 In.upf
ATOMIC_POSITIONS crystal
Br 0.2569 0.1736 0.3492
Pa 0.2491 0.3333 0.6667
Br 0.2570 0.6509 0.8244
Br 0.2491 0.6666 0.3333
Pa 0.7509 0.6667 0.3333
Br 0.7509 0.3334 0.6667
In 0.0000 0.0000 0.0000
Br 0.7431 0.8264 0.6508
Br 0.2570 0.1756 0.8264
Br 0.7430 0.3491 0.1756
Br 0.7430 0.8244 0.1736
CELL_PARAMETERS angstrom
5.7967 0.0000 -0.0004
-0.0007 8.6354 -4.9842
0.0000 -0.0016 9.9715

---

Record 11
! GGA-PBE LiLuAgHg, optimized geometry; values from VASP
! **DFT total energy**: -2.70 eV/atom
! **Space group**: F-43m (216)
&SYSTEM
  ibrav = 0, nat = 4, ntyp = 4
/
ATOMIC_SPECIES
Li 6.94 Li.upf
Lu 174.97 Lu.upf
Hg 200.59 Hg.upf
Ag 107.87 Ag.upf
ATOMIC_POSITIONS crystal
Li 0.5000 0.5000 0.5000
Lu 0.0000 0.0000 0.0000
Hg 0.7500 0.7500 0.7500
Ag 0.2500 0.2500 0.2500
CELL_PARAMETERS angstrom
4.8934 0.0000 0.0000
2.4467 4.2378 0.0000
2.4467 1.4126 3.9954

---

Record 12
! GGA-PBE Ho2Co3P4Rh, optimized geometry; values from VASP
! **DFT total energy**: -6.99 eV/atom
! **Space group**: P-4m2 (115)
&SYSTEM
  ibrav = 0, nat = 10, ntyp = 4
/
ATOMIC_SPECIES
P 30.97 P.upf
Co 58.93 Co.upf
Ho 164.93 Ho.upf
Rh 102.91 Rh.upf
ATOMIC_POSITIONS crystal
P 0.5000 0.5000 0.0000
Co 0.0000 0.0000 0.5000
Ho 0.0000 0.5000 0.7616
P 0.5000 0.0000 0.6462
Co 0.0000 0.5000 0.1110
Co 0.5000 0.0000 0.8890
P 0.0000 0.0000 0.0000
Rh 0.5000 0.5000 0.5000
P 0.0000 0.5000 0.3538
Ho 0.5000 0.0000 0.2384
CELL_PARAMETERS angstrom
3.9444 0.0000 0.0000
0.0000 3.9444 0.0000
0.0000 0.0000 9.1574

---

Record 13
! GGA-PBE K3Rb8Au, optimized geometry; values from VASP
! **DFT total energy**: -1.22 eV/atom
! **Space group**: P6_3mc (186)
&SYSTEM
  ibrav = 0, nat = 24, ntyp = 3
/
ATOMIC_SPECIES
Rb 85.47 Rb.upf
K 39.10 K.upf
Au 196.97 Au.upf
ATOMIC_POSITIONS crystal
Rb 0.4849 0.5270 0.0539
Rb 0.2753 0.2135 0.7865
K 0.2456 0.8472 0.6943
K 0.7456 0.1528 0.3057
Rb 0.9849 0.4730 0.9461
Au 0.5657 0.6667 0.3333
K 0.7456 0.6943 0.8472
Rb 0.4849 0.9461 0.4730
Rb 0.4981 0.0000 0.0000
Rb 0.6916 0.3333 0.6667
Rb 0.1916 0.6667 0.3333
K 0.7456 0.1528 0.8472
Rb 0.4849 0.5270 0.4730
Au 0.0657 0.3333 0.6667
Rb 0.2753 0.5730 0.7865
Rb 0.7753 0.4270 0.2135
K 0.2456 0.3057 0.1528
Rb 0.9849 0.0539 0.5270
K 0.2456 0.8472 0.1528
Rb 0.7753 0.7865 0.2135
Rb 0.2753 0.2135 0.4270
Rb 0.9981 0.0000 0.0000
Rb 0.7753 0.7865 0.5730
Rb 0.9849 0.4730 0.5270
CELL_PARAMETERS angstrom
-8.0168 0.7473 -5.8022
3.8602 -12.2291 -6.9087
-8.5724 -0.6730 11.7577

---

Record 14
! GGA-PBE PdPbCl6, optimized geometry; values from VASP
! **Space group**: R-3 (148)
! **Energy relative to the lowest polymorph listed for this composition**: 47 meV per atom
! **Formation energy (no corrections)**: -0.603 eV per atom
&SYSTEM
  ibrav = 0, nat = 8, ntyp = 3
/
ATOMIC_SPECIES
Cl 35.45 Cl.upf
Pb 207.20 Pb.upf
Pd 106.42 Pd.upf
ATOMIC_POSITIONS crystal
Cl 0.0377 0.3928 0.7731
Pb 0.5000 0.5000 0.5000
Cl 0.9623 0.6072 0.2269
Pd 0.0000 0.0000 0.0000
Cl 0.3928 0.7964 0.7731
Cl 0.7965 0.0377 0.7731
Cl 0.6072 0.2036 0.2269
Cl 0.2035 0.9623 0.2269
CELL_PARAMETERS angstrom
-6.3680 -0.8158 0.0051
-2.4992 -5.7490 1.3857
-3.1404 -0.7118 6.2564

---

Record 15
! GGA-PBE Na2LiSnO4, optimized geometry; values from VASP
! **Space group**: I-42m (121)
! **Formation energy (no corrections)**: -1.293 eV per atom
&SYSTEM
  ibrav = 0, nat = 8, ntyp = 4
/
ATOMIC_SPECIES
Na 22.99 Na.upf
Sn 118.71 Sn.upf
O 16.00 O.upf
Li 6.94 Li.upf
ATOMIC_POSITIONS crystal
Na 0.0000 0.5000 0.5000
Sn 0.0000 0.0000 0.0000
O 0.4136 0.6535 0.0000
O 0.5864 0.0000 0.3465
Li 0.5000 0.0000 0.0000
O 0.9329 0.0000 0.6535
O 0.0671 0.3465 0.0000
Na 0.5000 0.5000 0.5000
CELL_PARAMETERS angstrom
-5.4504 -1.4052 -0.0451
-2.2605 -2.6252 3.7245
-3.6760 2.9219 1.9551

---

Record 16
! GGA-PBE LaHo2Th, optimized geometry; values from VASP
! **Space group**: Fm-3m (225)
! **Energy relative to the lowest polymorph listed for this composition**: 115 meV per atom
&SYSTEM
  ibrav = 0, nat = 4, ntyp = 3
/
ATOMIC_SPECIES
Ho 164.93 Ho.upf
La 138.91 La.upf
Th 232.04 Th.upf
ATOMIC_POSITIONS crystal
Ho 0.7500 0.7500 0.7500
Ho 0.2500 0.2500 0.2500
La 0.5000 0.5000 0.5000
Th 0.0000 0.0000 0.0000
CELL_PARAMETERS angstrom
-4.2979 -2.1581 -3.0808
0.9283 -1.7674 -5.3512
-0.1157 -5.5771 -1.2260

---

Record 17
! GGA-PBE LaTb6Dy5, optimized geometry; values from VASP
! **DFT total energy**: -4.62 eV/atom
! **Space group**: C2/m (12)
&SYSTEM
  ibrav = 0, nat = 12, ntyp = 3
/
ATOMIC_SPECIES
Tb 158.93 Tb.upf
Dy 162.50 Dy.upf
La 138.91 La.upf
ATOMIC_POSITIONS crystal
Tb 0.2494 0.9160 0.5815
Tb 0.7506 0.4185 0.0840
Tb 0.2494 0.5815 0.9160
Tb 0.7479 0.7490 0.7490
Dy 0.5000 0.5000 0.5000
Dy 0.5000 0.1691 0.8309
Dy 0.0000 0.6651 0.3349
Dy 0.5000 0.8309 0.1691
Dy 0.0000 0.3349 0.6651
La 0.0000 0.0000 0.0000
Tb 0.2521 0.2510 0.2510
Tb 0.7506 0.0840 0.4185
CELL_PARAMETERS angstrom
6.1220 -0.0235 0.8261
0.9778 7.8923 0.7681
-0.0267 0.0462 7.9895

---

Record 18
! GGA-PBE Ir2PtF, optimized geometry; values from VASP
! **Space group**: I-42d (122)
! **Energy relative to the lowest polymorph listed for this composition**: 146 meV per atom
! **Formation energy (no corrections)**: 0.548 eV per atom
&SYSTEM
  ibrav = 0, nat = 8, ntyp = 3
/
ATOMIC_SPECIES
F 19.00 F.upf
Ir 192.22 Ir.upf
Pt 195.08 Pt.upf
ATOMIC_POSITIONS crystal
F 0.2500 0.7500 0.5000
Ir 0.3750 0.4121 0.7500
Ir 0.5879 0.1250 0.2500
Pt 0.0000 0.0000 0.0000
Pt 0.7500 0.2500 0.5000
Ir 0.1621 0.6250 0.2500
F 0.5000 0.5000 0.0000
Ir 0.8750 0.8379 0.7500
CELL_PARAMETERS angstrom
6.6305 0.0000 0.0000
0.0000 6.6305 0.0000
3.3153 3.3153 2.6397

---

Record 19
! GGA-PBE MnTeS2, optimized geometry; values from VASP
! **Space group**: P2_1/c (14)
! **Formation energy (no corrections)**: -0.092 eV per atom
&SYSTEM
  ibrav = 0, nat = 16, ntyp = 3
/
ATOMIC_SPECIES
S 32.06 S.upf
Te 127.60 Te.upf
Mn 54.94 Mn.upf
ATOMIC_POSITIONS crystal
S 0.0930 0.0211 0.3230
Te 0.1383 0.4758 0.0918
Mn 0.2756 0.2654 0.0157
Te 0.6383 0.0242 0.5918
S 0.1685 0.9687 0.7369
Mn 0.7244 0.7346 0.9843
S 0.5930 0.4789 0.8230
Te 0.8617 0.5242 0.9082
Mn 0.2244 0.7654 0.4843
Mn 0.7756 0.2346 0.5157
S 0.3315 0.4687 0.7631
S 0.9070 0.9789 0.6770
S 0.4070 0.5211 0.1770
Te 0.3617 0.9758 0.4082
S 0.8315 0.0313 0.2631
S 0.6685 0.5313 0.2369
CELL_PARAMETERS angstrom
14.6023 0.0000 4.0223
0.0000 5.7088 0.0000
-4.2609 0.0000 3.9781

---

Record 20
! GGA-PBE ZrAlSi, optimized geometry; values from VASP
! **Space group**: Ama2 (40)
! **Formation energy (no corrections)**: -0.403 eV per atom
&SYSTEM
  ibrav = 0, nat = 18, ntyp = 3
/
ATOMIC_SPECIES
Si 28.09 Si.upf
Al 26.98 Al.upf
Zr 91.22 Zr.upf
ATOMIC_POSITIONS crystal
Si 0.3151 0.0000 0.0000
Al 0.0091 0.9341 0.2500
Zr 0.6900 0.0713 0.2500
Zr 0.3349 0.3233 0.2500
Zr 0.6186 0.9287 0.7500
Al 0.3231 0.6787 0.0549
Si 0.0039 0.3130 0.9659
Zr 0.3835 0.4610 0.7500
Zr 0.0116 0.6767 0.7500
Al 0.0750 0.0659 0.7500
Al 0.6443 0.3213 0.9451
Zr 0.9226 0.5390 0.2500
Si 0.6910 0.6870 0.0341
Al 0.6443 0.3213 0.5549
Si 0.3151 0.0000 0.5000
Si 0.0039 0.3130 0.5341
Al 0.3231 0.6787 0.4451
Si 0.6910 0.6870 0.4659
CELL_PARAMETERS angstrom
-6.0366 -0.2647 -3.2591
-0.0399 -1.7484 7.4466
-1.1056 6.4988 1.5200